Entry 1:
4
Lattice="2.6385 -3.7355 0.0000 2.6385 3.7355 0.0000 0.0000 0.0000 2.6489" Properties=species:S:1:pos:R:3 comment="meta-GGA SCAN MnOsRu2, single point on PBEsol structure" delta_e_f_ev_per_atom=0.01 spacegroup="No. 65" e_above_lowest_polymorph_mev_per_atom=0 energy_ev_per_cell=-159.77 dos_at_fermi_per_ev_atom=0.875 pbc="T T T"
Mn 0.0000 0.0000 0.0000
Os 2.6385 0.0000 0.0000
Ru 1.3193 1.8677 1.3244
Ru 1.3193 -1.8677 1.3244



Entry 2:
36
Lattice="-3.6935 3.6935 7.4375 3.6935 -3.6935 7.4375 3.6935 3.6935 -7.4375" Properties=species:S:1:pos:R:3 comment="meta-GGA SCAN ErB4Ru4, single point on PBEsol structure" delta_e_f_ev_per_atom=-0.57 spacegroup="No. 142" energy_ev_per_cell=-897.80 dos_at_fermi_per_ev_atom=0.796 pbc="T T T"
Er 3.6935 1.8468 -1.8594
Er 0.0000 1.8468 1.8594
Er 3.6935 1.8468 5.5781
Er 0.0000 1.8468 9.2968
B 1.2401 0.8084 -0.6489
B 1.0383 -0.6067 3.0699
B 2.4534 0.8084 0.6489
B 4.7318 -0.6067 4.3676
B 4.7318 0.6067 3.0699
B 2.4534 -0.8084 6.7886
B 1.0383 0.6067 4.3676
B 1.2401 -0.8084 8.0863
B 2.4534 4.5020 -0.6489
B 2.6552 3.0869 3.0699
B 1.2401 4.5020 0.6489
B -1.0383 3.0869 4.3676
B -1.0383 4.3002 3.0699
B 1.2401 2.8851 6.7886
B 2.6552 4.3002 4.3676
B 2.4534 2.8851 8.0863
Ru 6.5319 0.7501 -0.9399
Ru 2.5968 2.7019 -4.6586
Ru 4.5486 0.7501 0.9399
Ru 2.5968 -0.9916 4.6586
Ru 2.5968 0.9916 2.7788
Ru 0.8551 2.9435 -0.9399
Ru 2.5968 4.6852 -2.7788
Ru 2.8384 2.9435 0.9399
Ru 0.8551 0.7501 6.4976
Ru 1.0967 -0.9916 10.2163
Ru 2.8384 0.7501 8.3774
Ru 1.0967 2.7019 4.6586
Ru 1.0967 4.6852 2.7788
Ru -0.8551 2.9435 6.4976
Ru 1.0967 0.9916 12.0961
Ru -2.8384 2.9435 8.3774